# CdRe2W

Crystalline CdRe2W at its relaxed geometry (PBE, the Alexandria database).

Output
- ρ (g cm⁻³) = 17.2
- total magnetic moment (μB/atom) = 0.0000
- formation energy from the elements (eV/atom) = 0.631

Cell lengths 3.9782, 3.9782, 8.1769 Å; angles 90.00, 90.00, 90.00 degrees
With the nearest neighbours (Å) after each atom.
Space group I-4m2 (No. 119)
Inequivalent atoms, fractional coordinates:
1 Cd 0.0000 0.0000 0.0000 x2  8 Re 2.81-2.85, 4 W 2.85
2 Re 0.0000 0.0000 0.5000 x2  4 Cd 2.81, 4 W 2.85, 4 Re 2.85
3 Re 0.0000 0.5000 0.7500 x2  4 W 2.81, 4 Cd 2.85, 4 Re 2.85
4 W 0.0000 0.5000 0.2500 x2  8 Re 2.81-2.85, 4 Cd 2.85